Record 1
This record from Alexandria via LeMat-Bulk describes a relaxed Tl2SbPt crystal. The functional is GGA-PBE.

Cell and atoms, written as POSCAR:
```
Tl2SbPt
1.0
-1.7258 2.4537 6.2986
1.7258 -2.4537 6.2986
1.7258 2.4537 -6.2986
Tl Sb Pt
2 1 1
Cartesian
0.0000 0.0000 0.0000
0.0000 2.4537 2.2708
0.0000 0.0000 4.7951
1.7258 0.0000 2.7902
```

Values from the calculation:
As for the uncorrected energy: -3.759 eV/atom. The magnetic moment is 0.000 μB/f.u. The space group is Imm2, No. 44. For the formation energy from raw total energies, the calculation gives -0.0350 eV/atom.

---

Record 2
This record from Alexandria via LeMat-Bulk describes a relaxed Tl2SbPt2 crystal. The functional is GGA-PBE.

Cell and atoms, written as POSCAR:
```
Tl2SbPt2
1.0
7.2601 0.0000 0.0000
0.0000 7.2601 0.0000
0.0000 0.0000 4.3111
Tl Sb Pt
4 2 4
Cartesian
1.1971 2.4330 0.0000
2.4330 6.0630 0.0000
4.8271 1.1971 0.0000
6.0630 4.8271 0.0000
0.0000 0.0000 2.1555
3.6301 3.6301 2.1555
1.0008 4.6308 2.1555
2.6293 1.0008 2.1555
4.6308 6.2593 2.1555
6.2593 2.6293 2.1555
```

Values from the calculation:
As for the uncorrected energy: -4.158 eV/atom. The magnetic moment is 0.000 μB/f.u. The space group is P4/mbm, No. 127. For the formation energy from raw total energies, the calculation gives 0.0294 eV/atom.

---

Record 3
This record from Alexandria via LeMat-Bulk describes a relaxed TlSb2Pt2 crystal. The functional is GGA-PBE.

Cell and atoms, written as POSCAR:
```
TlSb2Pt2
1.0
-2.3244 2.3244 5.8941
2.3244 -2.3244 5.8941
2.3244 2.3244 -5.8941
Tl Sb Pt
1 2 2
Cartesian
0.0000 0.0000 0.0000
0.0000 0.0000 4.2636
0.0000 0.0000 7.5246
2.3244 0.0000 2.9470
0.0000 2.3244 2.9470
```

Values from the calculation:
As for the uncorrected energy: -4.756 eV/atom. The magnetic moment is 0.000 μB/f.u. The space group is I4/mmm, No. 139. For the formation energy from raw total energies, the calculation gives -0.2171 eV/atom.

---

Record 4
This record from Alexandria via LeMat-Bulk describes a relaxed TlSb2Pt2 crystal. The functional is GGA-PBE.

Cell and atoms, written as POSCAR:
```
TlSb2Pt2
1.0
8.0907 0.0000 0.0000
0.0000 8.0907 0.0000
0.0000 0.0000 3.3727
Tl Sb Pt
2 4 4
Cartesian
0.0000 0.0000 0.0000
4.0453 4.0453 0.0000
1.2740 2.7713 1.6863
2.7713 6.8167 1.6863
5.3193 1.2740 1.6863
6.8167 5.3193 1.6863
1.0218 5.0671 0.0000
3.0235 1.0218 0.0000
5.0671 7.0689 0.0000
7.0689 3.0235 0.0000
```

Values from the calculation:
As for the uncorrected energy: -4.638 eV/atom. The magnetic moment is 0.000 μB/f.u. The space group is P4/mbm, No. 127. For the formation energy from raw total energies, the calculation gives -0.0998 eV/atom.

---

Record 5
This record from Alexandria via LeMat-Bulk describes a relaxed Tl3SbPt crystal. The functional is GGA-PBE.

Cell and atoms, written as POSCAR:
```
Tl3SbPt
1.0
5.3632 0.0000 0.0000
0.0000 5.3632 0.0000
0.0000 0.0000 5.3632
Tl Sb Pt
3 1 1
Cartesian
0.0000 0.0000 2.6816
0.0000 2.6816 0.0000
2.6816 0.0000 0.0000
2.6816 2.6816 2.6816
0.0000 0.0000 0.0000
```

Values from the calculation:
As for the uncorrected energy: -3.332 eV/atom. The magnetic moment is 0.495 μB/f.u. The space group is Pm-3m, No. 221. For the formation energy from raw total energies, the calculation gives 0.1200 eV/atom.

---

Record 6
This record from Alexandria via LeMat-Bulk describes a relaxed TlSb2Pt2 crystal. The functional is GGA-PBE.

Cell and atoms, written as POSCAR:
```
TlSb2Pt2
1.0
-2.4633 2.4633 5.0264
2.4633 -2.4633 5.0264
2.4633 2.4633 -5.0264
Tl Sb Pt
1 2 2
Cartesian
0.0000 0.0000 0.0000
2.4633 0.0000 2.5132
0.0000 2.4633 2.5132
0.0000 0.0000 3.6766
0.0000 0.0000 6.3763
```

Values from the calculation:
As for the uncorrected energy: -4.728 eV/atom. The magnetic moment is 0.000 μB/f.u. The space group is I4/mmm, No. 139. For the formation energy from raw total energies, the calculation gives -0.1890 eV/atom.